DFT (PBE) results for a geometry-optimized CrAu3 structure.

Summary:
spin magnetization	4.101	μB per formula unit
V	127	Å³ per cell
calculated formation energy	1100	meV/atom
energy	-3.764	eV/atom

Cell and atoms, written as CIF:
```
data_CrAu3
_chemical_formula_sum 'Cr1 Au3'
_cell_length_a 5.033
_cell_length_b 5.033
_cell_length_c 5.033
_cell_angle_alpha 90.00
_cell_angle_beta 90.00
_cell_angle_gamma 90.00
_symmetry_space_group_name_H-M 'P m -3 m'
_symmetry_Int_Tables_number 221
_symmetry_space_group_name_Hall '-P 4 2 3'
loop_
_atom_site_label
_atom_site_type_symbol
_atom_site_fract_x
_atom_site_fract_y
_atom_site_fract_z
Cr1 Cr 0.000 0.000 0.000
Au1 Au 0.000 0.000 0.500
```